Entry 1:
Entry from Alexandria: a relaxed In2Co2Au crystal (PBE-GGA).

Properties
Raw total energy ... -4.0959 eV per atom
D(E_F) ... 6.04 states/eV/cell
Size of the total moment ... 2.05 μB/f.u.
Formation energy ... 497 meV per atom

```
5
Lattice="-1.026 3.778 1.040 -2.301 0.289 -3.321 -6.014 0.070 1.702" Properties=species:S:1:pos:R:3 pbc="T T T"
Co -2.503 1.655 -0.592
Co -6.838 2.483 0.012
Au 0.000 0.000 0.000
In -4.352 2.941 0.800
In -4.989 1.196 -1.380
```

Entry 2:
Entry from Alexandria: a relaxed OsC2 crystal (PBE-GGA).

Properties
Raw total energy ... -8.3320 eV per atom
D(E_F) ... 2.36 states/eV/cell
Size of the total moment ... 0.13 μB/f.u.
Formation energy ... 1561 meV per atom

```
3
Lattice="5.700 0.000 0.000 4.813 3.055 0.000 4.813 1.398 2.716" Properties=species:S:1:pos:R:3 pbc="T T T"
C 11.047 3.210 1.957
C 9.386 2.727 1.663
Os 0.000 0.000 0.000
```

Entry 3:
Entry from Alexandria: a relaxed KAuSe2 crystal (PBE-GGA).

Properties
Raw total energy ... -3.1487 eV per atom
D(E_F) ... 5.97 states/eV/cell
Size of the total moment ... 0.20 μB/f.u.

```
4
Lattice="7.689 -0.033 -0.020 6.594 3.955 -0.020 6.594 1.811 3.516" Properties=species:S:1:pos:R:3 pbc="T T T"
Au 5.219 1.433 0.869
K 15.658 4.300 2.607
Se 20.374 5.595 3.393
Se 10.941 3.005 1.822
```

Entry 4:
Entry from Alexandria: a relaxed La3AuO crystal (PBE-GGA).

Properties
Raw total energy ... -5.9956 eV per atom
D(E_F) ... 9.00 states/eV/cell
Size of the total moment ... 0.00 μB/f.u.

```
10
Lattice="-2.835 5.287 -3.100 2.764 -0.659 -7.371 -2.206 -5.931 -1.435" Properties=species:S:1:pos:R:3 pbc="T T T"
Au -1.775 -2.400 -10.967
Au -1.483 -1.857 -7.400
O -0.783 -2.815 -3.396
O -0.463 0.603 -5.096
La 0.670 1.292 -7.184
La 0.689 -1.427 -4.603
La -2.728 0.367 -5.685
La -1.427 -1.495 -1.475
La -2.472 -3.634 -4.914
La -1.338 0.324 -9.670
```

Entry 5:
Entry from Alexandria: a relaxed CsLaTe2I crystal (PBE-GGA).

Properties
Raw total energy ... -3.8951 eV per atom
D(E_F) ... 7.19 states/eV/cell
Size of the total moment ... 0.00 μB/f.u.

```
5
Lattice="6.205 0.000 0.000 0.000 6.205 0.000 0.000 0.000 6.476" Properties=species:S:1:pos:R:3 pbc="T T T"
Cs 3.102 3.102 3.238
I 0.000 0.000 3.238
Te 0.000 3.102 0.000
Te 3.102 0.000 0.000
La 0.000 0.000 0.000
```

Entry 6:
Entry from Alexandria: a relaxed Cu5Pd6Pt2 crystal (PBE-GGA).

Properties
Raw total energy ... -4.9091 eV per atom
D(E_F) ... 28.59 states/eV/cell
Size of the total moment ... 0.00 μB/f.u.
Formation energy ... -8 meV per atom

```
26
Lattice="2.722 0.000 0.000 0.000 8.966 0.000 0.000 0.000 15.484" Properties=species:S:1:pos:R:3 pbc="T T T"
Cu 1.361 2.637 6.996
Cu 1.361 6.329 8.488
Cu 1.361 7.120 0.746
Cu 1.361 1.846 14.738
Cu 1.361 5.322 4.223
Cu 1.361 3.644 11.261
Cu 1.361 0.839 3.519
Cu 1.361 8.127 11.964
Cu 1.361 4.483 0.000
Cu 1.361 0.000 7.742
Pd 0.000 0.719 5.703
Pd 0.000 8.247 9.781
Pd 0.000 5.201 2.039
Pd 0.000 3.764 13.445
Pd 1.361 2.777 1.862
Pd 1.361 6.188 13.622
Pd 1.361 7.260 5.880
Pd 1.361 1.705 9.604
Pd 0.000 4.918 6.486
Pd 0.000 4.048 8.997
Pd 0.000 0.435 1.255
Pd 0.000 8.531 14.228
Pt 0.000 3.075 4.373
Pt 0.000 5.891 11.111
Pt 0.000 7.558 3.369
Pt 0.000 1.408 12.115
```

Entry 7:
Entry from Alexandria: a relaxed Tb3Nd3HoTe8 crystal (PBE-GGA).

Properties
Raw total energy ... -5.2736 eV per atom
D(E_F) ... 6.96 states/eV/cell
Size of the total moment ... 0.00 μB/f.u.

```
15
Lattice="8.810 0.000 0.000 -4.405 7.630 -0.027 0.000 -5.061 7.263" Properties=species:S:1:pos:R:3 pbc="T T T"
Tb 4.405 -2.531 3.631
Tb 2.202 1.284 3.618
Tb -2.203 1.284 3.618
Nd 0.000 0.000 0.000
Nd -2.203 3.815 -0.013
Nd 2.202 3.815 -0.013
Ho 0.000 -2.531 3.631
Te 0.000 2.550 1.873
Te 4.405 0.019 5.363
Te 4.405 2.502 1.840
Te 0.000 0.066 5.396
Te 6.567 -1.242 1.853
Te -2.162 3.810 5.383
Te 2.243 -1.242 1.853
Te 2.162 3.810 5.383
```

Entry 8:
Entry from Alexandria: a relaxed Na4Ac3AlS8 crystal (PBE-GGA).

Properties
Raw total energy ... -4.9504 eV per atom
Size of the total moment ... 0.00 μB/f.u.

```
16
Lattice="8.371 0.000 0.000 0.000 8.316 -0.085 -4.185 -4.212 6.010" Properties=species:S:1:pos:R:3 pbc="T T T"
Na 4.185 0.000 0.000
Na 2.093 -2.106 3.005
Na 0.000 0.000 0.000
Na -2.093 -2.106 3.005
Ac 4.185 4.158 -0.043
Ac 2.093 2.052 2.962
Ac -2.093 2.052 2.962
Al 0.000 4.158 -0.043
S -2.471 1.678 5.936
S 0.000 4.118 3.140
S 0.000 -0.025 3.031
S 2.471 1.678 5.936
S 1.714 2.427 -0.011
S 4.185 4.129 2.894
S 4.185 -0.013 2.785
S 6.657 2.427 -0.011
```

Entry 9:
Entry from Alexandria: a relaxed U4Mn7Ge6 crystal (PBE-GGA).

Properties
Raw total energy ... -8.3503 eV per atom
D(E_F) ... 15.53 states/eV/cell
Size of the total moment ... 1.26 μB/f.u.
Formation energy ... -289 meV per atom

```
17
Lattice="6.587 0.000 -2.329 -3.294 5.705 -2.329 0.000 0.000 6.987" Properties=species:S:1:pos:R:3 pbc="T T T"
U 3.294 0.000 -1.164
U 1.647 2.852 1.164
U -1.647 2.852 -1.164
U 0.000 0.000 3.493
Mn 3.294 2.852 -1.164
Mn -0.823 4.278 1.164
Mn 0.823 4.278 -1.164
Mn 4.117 1.426 1.164
Mn 0.000 2.852 3.493
Mn 2.470 1.426 3.493
Mn 0.000 0.000 0.000
Ge 4.513 0.000 3.191
Ge 2.256 3.908 -3.191
Ge -1.037 1.796 1.467
Ge 2.074 0.000 1.467
Ge 1.037 1.796 -1.467
Ge -2.256 3.908 3.191
```

Entry 10:
Entry from Alexandria: a relaxed LaTlP2S crystal (PBE-GGA).

Properties
Raw total energy ... -4.2562 eV per atom
D(E_F) ... 5.57 states/eV/cell
Size of the total moment ... 2.41 μB/f.u.

```
5
Lattice="5.675 0.000 0.000 0.000 5.675 0.000 0.000 0.000 5.517" Properties=species:S:1:pos:R:3 pbc="T T T"
P 0.000 2.837 0.000
P 2.837 0.000 0.000
Tl 2.837 2.837 2.758
S 0.000 0.000 2.758
La 0.000 0.000 0.000
```

Entry 11:
Entry from Alexandria: a relaxed DyHo2SbN4 crystal (PBE-GGA).

Properties
Raw total energy ... -7.4788 eV per atom
D(E_F) ... 0.42 states/eV/cell
Size of the total moment ... 0.00 μB/f.u.

```
8
Lattice="3.471 0.000 0.000 0.000 6.022 0.114 0.000 -2.100 5.653" Properties=species:S:1:pos:R:3 pbc="T T T"
Dy 1.735 3.011 0.057
Ho 1.735 -1.050 2.827
Ho 0.000 1.961 2.884
Sb 0.000 0.000 0.000
N 1.735 1.028 1.522
N 1.735 2.894 4.246
N 0.000 -0.024 4.229
N 0.000 3.946 1.538
```

Entry 12:
Entry from Alexandria: a relaxed Mn2CdCu crystal (PBE-GGA).

Properties
Raw total energy ... -5.5121 eV per atom
D(E_F) ... 2.83 states/eV/cell
Size of the total moment ... 7.16 μB/f.u.
Formation energy ... 325 meV per atom

```
4
Lattice="-0.286 -0.085 -4.762 3.901 -2.422 1.299 -1.536 -2.397 0.136" Properties=species:S:1:pos:R:3 pbc="T T T"
Cd -0.911 -1.241 -2.313
Cu 1.182 -2.410 0.718
Mn 0.000 0.000 0.000
Mn 1.807 -1.254 -1.732
```

Entry 13:
Entry from Alexandria: a relaxed LaBe2As crystal (PBE-GGA).

Properties
Raw total energy ... -4.5869 eV per atom
D(E_F) ... 0.91 states/eV/cell
Size of the total moment ... 0.00 μB/f.u.
Formation energy ... -330 meV per atom

```
4
Lattice="3.959 -0.009 0.000 2.155 3.321 0.000 1.839 0.996 5.454" Properties=species:S:1:pos:R:3 pbc="T T T"
Be 1.868 1.012 5.079
Be 6.045 3.275 4.938
As 1.940 1.051 0.660
La 3.915 2.121 2.958
```

Entry 14:
Entry from Alexandria: a relaxed YZnCu6Si crystal (PBE-GGA).

Properties
Raw total energy ... -4.1380 eV per atom
D(E_F) ... 9.30 states/eV/cell
Size of the total moment ... 0.00 μB/f.u.

```
18
Lattice="-4.478 2.366 -4.058 1.585 -5.829 -5.148 -2.396 -1.431 7.000" Properties=species:S:1:pos:R:3 pbc="T T T"
Y -3.382 -1.540 -2.356
Y -1.907 -3.353 0.150
Zn -3.437 0.468 1.471
Zn -1.198 -0.715 3.500
Cu -1.746 -3.761 -5.456
Cu 0.237 -1.588 -1.188
Cu -4.535 1.223 -2.701
Cu -0.935 -3.240 -2.817
Cu -1.748 -0.249 -0.176
Cu -3.722 -1.768 -5.342
Cu -3.543 -1.132 3.250
Cu -5.526 -3.305 -1.018
Cu -0.754 -6.116 0.495
Cu -4.354 -1.653 0.612
Cu -3.540 -4.644 -2.030
Cu -1.567 -3.125 3.137
Si -1.447 -1.731 -4.603
Si -2.239 1.183 -2.029
```